# PbW2Cl

Crystalline PbW2Cl at its relaxed geometry (PBEsol, Alexandria via LeMat-Bulk).

Summary:
uncorrected formation energy	441	meV per atom
size of the total moment	0.0000	μB/atom
volume	20.2	Å³ per atom

abc: 3.1136 3.1136 8.3481
angles: 90.00 90.00 90.00
With the nearest neighbours (Å) after each atom.
Space group P4mm (No. 99)
One atom of each set of equivalent atoms:
Pb: 0.0000 0.0000 0.0000 x1  4 W 3.10, 4 Pb 3.11
W: 0.0000 0.0000 0.4318 x1  4 W 2.62, 4 Cl 2.86
W: 0.5000 0.5000 0.2606 x1  4 W 2.62
Cl: 0.5000 0.5000 0.6497 x1  4 W 2.86, 4 Cl 3.11

***

# Sc2IrAu

Crystalline Sc2IrAu at its relaxed geometry (PBEsol, Alexandria via LeMat-Bulk).

Summary:
size of the total moment	0.0000	μB/atom
energy of formation from the pure elements	-0.554	eV per atom
volume	19.9	Å³ per atom

abc: 3.7673 3.7673 19.4596
angles: 90.00 90.00 120.00
With the nearest neighbours (Å) after each atom.
Space group R-3m (No. 166, hexagonal axes)
One atom of each set of equivalent atoms:
Sc: 0.0000 0.0000 0.2404 x6  3 Ir 2.61, 3 Au 2.83
Ir: 0.0000 0.0000 0.5000 x3  6 Sc 2.61
Au: 0.0000 0.0000 0.0000 x3  6 Sc 2.83

***

# ZrScN3

Crystalline ZrScN3 at its relaxed geometry (PBEsol, Alexandria via LeMat-Bulk).

Summary:
uncorrected formation energy	-246	meV per atom
size of the total moment	0.0357	μB/atom
volume	13.7	Å³ per atom

abc: 4.0949 4.0949 4.0949
angles: 90.00 90.00 90.00
With the nearest neighbours (Å) after each atom.
Space group Pm-3m (No. 221)
One atom of each set of equivalent atoms:
Zr: 0.0000 0.0000 0.0000 x1  6 N 2.05
Sc: 0.5000 0.5000 0.5000 x1  12 N 2.90
N: 0.0000 0.0000 0.5000 x3  2 Zr 2.05

***

# BeAl2Ni

Crystalline BeAl2Ni at its relaxed geometry (PBEsol, Alexandria via LeMat-Bulk).

Summary:
size of the total moment	0.0000	μB/atom
energy of formation from the pure elements	-0.081	eV per atom
volume	12.4	Å³ per atom

abc: 2.7001 2.7001 23.6179
angles: 90.00 90.00 120.00
With the nearest neighbours (Å) after each atom.
Space group R-3m (No. 166, hexagonal axes)
One atom of each set of equivalent atoms:
Be: 0.0000 0.0000 0.0000 x3  6 Al 2.56, 6 Be 2.70
Al: 0.0000 0.0000 0.2473 x6  3 Ni 2.46, 3 Be 2.56, 6 Al 2.70
Ni: 0.0000 0.0000 0.5000 x3  6 Al 2.46, 6 Ni 2.70

***

# SrLiHg

Crystalline SrLiHg at its relaxed geometry (PBEsol, Alexandria via LeMat-Bulk).

Summary:
size of the total moment	0.0000	μB/atom
energy of formation from the pure elements	-0.379	eV per atom
volume	28.0	Å³ per atom

abc: 4.7503 4.7503 4.2946
angles: 90.00 90.00 120.00
With the nearest neighbours (Å) after each atom.
Space group P-6m2 (No. 187)
One atom of each set of equivalent atoms:
Sr: 0.0000 0.0000 0.0000 x1  6 Hg 3.48, 6 Li 3.48
Li: 0.3333 0.6667 0.5000 x1  3 Hg 2.74
Hg: 0.6667 0.3333 0.5000 x1  3 Li 2.74

***

# TiCOF2

Crystalline TiCOF2 at its relaxed geometry (PBEsol, Alexandria via LeMat-Bulk).

Summary:
uncorrected formation energy	-909	meV per atom
size of the total moment	0.3991	μB/atom
volume	11.5	Å³ per atom

abc: 3.9077 3.9077 3.7712
angles: 90.00 90.00 90.00
With the nearest neighbours (Å) after each atom.
Space group P4/mmm (No. 123)
One atom of each set of equivalent atoms:
Ti: 0.0000 0.0000 0.0000 x1  2 O 1.89, 4 F 1.95
C: 0.5000 0.5000 0.5000 x1  8 F 2.72, 4 O 2.76
O: 0.0000 0.0000 0.5000 x1  2 Ti 1.89
F: 0.0000 0.5000 0.0000 x2  2 Ti 1.95